[1]
VASP calculation (PBEsol) on an optimized crystal structure of Mg13Al14.

Output
Calculated total energy in Ry per atom: -0.212
Space-group type: Im-3m, No. 229
Density in g/cm³: 2.2
Total magnetic moment in μB/f.u.: 0.0
Energy of formation in kJ/mol of atoms: 6.7

abc: 8.7598 8.7598 8.7598
angles: 109.47 109.47 109.47
With the nearest neighbours (Å) after each atom.
Sites, in units of the cell vectors:
Al (0.3419, 0.0000, 0.0000)  4 Al 2.77-2.79, 4 Mg 3.00
Al (0.0000, 0.0000, 0.6581)  4 Al 2.77-2.79, 4 Mg 3.00
Al (0.0000, 0.0000, 0.3419)  4 Al 2.77-2.79, 4 Mg 3.00
Al (0.6581, 0.6581, 0.6581)  4 Al 2.77-2.79, 4 Mg 3.00
Al (0.3031, 0.3031, 0.0000)  4 Al 2.79, 5 Mg 3.01-3.07
Al (0.6969, 0.6969, 0.0000)  4 Al 2.79, 5 Mg 3.01-3.07
Al (0.0000, 0.3031, 0.3031)  4 Al 2.79, 5 Mg 3.01-3.07
Al (0.0000, 0.6969, 0.6969)  4 Al 2.79, 5 Mg 3.01-3.07
Al (0.3419, 0.3419, 0.3419)  4 Al 2.77-2.79, 4 Mg 3.00
Al (0.0000, 0.3419, 0.0000)  4 Al 2.77-2.79, 4 Mg 3.00
Al (0.6581, 0.0000, 0.0000)  4 Al 2.77-2.79, 4 Mg 3.00
Al (0.0000, 0.6581, 0.0000)  4 Al 2.77-2.79, 4 Mg 3.00
Al (0.6969, 0.0000, 0.6969)  4 Al 2.79, 5 Mg 3.01-3.07
Al (0.3031, 0.0000, 0.3031)  4 Al 2.79, 5 Mg 3.01-3.07
Mg (0.6574, 0.3147, 0.6574)  6 Mg 2.93-3.18, 4 Al 3.00-3.01
Mg (0.3426, 0.3426, 0.6853)  6 Mg 2.93-3.18, 4 Al 3.00-3.01
Mg (0.6574, 0.0000, 0.3426)  6 Mg 2.93-3.18, 4 Al 3.00-3.01
Mg (0.3426, 0.6574, 0.0000)  6 Mg 2.93-3.18, 4 Al 3.00-3.01
Mg (0.3147, 0.6574, 0.6574)  6 Mg 2.93-3.18, 4 Al 3.00-3.01
Mg (0.3426, 0.6853, 0.3426)  6 Mg 2.93-3.18, 4 Al 3.00-3.01
Mg (0.6574, 0.6574, 0.3147)  6 Mg 2.93-3.18, 4 Al 3.00-3.01
Mg (0.3426, 0.0000, 0.6574)  6 Mg 2.93-3.18, 4 Al 3.00-3.01
Mg (0.6853, 0.3426, 0.3426)  6 Mg 2.93-3.18, 4 Al 3.00-3.01
Mg (0.0000, 0.6574, 0.3426)  6 Mg 2.93-3.18, 4 Al 3.00-3.01
Mg (0.0000, 0.3426, 0.6574)  6 Mg 2.93-3.18, 4 Al 3.00-3.01
Mg (0.6574, 0.3426, 0.0000)  6 Mg 2.93-3.18, 4 Al 3.00-3.01
Mg (0.0000, 0.0000, 0.0000)  14 Al 3.00-3.07

=====

[2]
VASP calculation (PBEsol) on an optimized crystal structure of CrRhSe2.

Output
Energy above the lowest structure with this stoichiometry in meV/atom: 547
Calculated total energy in Ry per atom: -0.446
Space-group type: F-43m, No. 216
Density in g/cm³: 8.3
Total magnetic moment in μB/f.u.: 2.6

abc: 4.4585 4.4585 4.4585
angles: 60.00 60.00 60.00
With the nearest neighbours (Å) after each atom.
Sites, in units of the cell vectors:
Cr (0.5000, 0.5000, 0.5000)  4 Se 2.73, 4 Rh 2.73
Rh (0.7500, 0.7500, 0.7500)  4 Se 2.73, 4 Cr 2.73
Se (0.2500, 0.2500, 0.2500)  4 Cr 2.73, 4 Se 2.73
Se (0.0000, 0.0000, 0.0000)  4 Rh 2.73, 4 Se 2.73

=====

[3]
VASP calculation (PBEsol) on an optimized crystal structure of Tl2Cd.

Output
Energy above the lowest structure with this stoichiometry in meV/atom: 33
Calculated total energy in Ry per atom: -0.153
Space-group type: Immm, No. 71
Density in g/cm³: 10.9
Total magnetic moment in μB/f.u.: 0.0
Energy of formation in kJ/mol of atoms: 6.9

abc: 3.2322 5.5787 8.7995
angles: 90.00 90.00 90.00
With the nearest neighbours (Å) after each atom.
Sites, in units of the cell vectors:
Tl (0.0000, 0.4992, 0.8169)  4 Cd 3.22-3.23, 7 Tl 3.22-3.43
Tl (0.5000, 0.9992, 0.6831)  4 Cd 3.22-3.23, 7 Tl 3.22-3.43
Tl (0.5000, 0.0008, 0.3169)  4 Cd 3.22-3.23, 7 Tl 3.22-3.43
Tl (0.0000, 0.5008, 0.1831)  4 Cd 3.22-3.23, 7 Tl 3.22-3.43
Cd (0.0000, 0.0000, 0.0000)  8 Tl 3.22-3.23, 2 Cd 3.23
Cd (0.5000, 0.5000, 0.5000)  8 Tl 3.22-3.23, 2 Cd 3.23

=====

[4]
VASP calculation (PBEsol) on an optimized crystal structure of Li3CaPd.

Output
Calculated total energy in Ry per atom: -0.212
Space-group type: Pm-3m, No. 221
Density in g/cm³: 2.5
Total magnetic moment in μB/f.u.: 0.0
Energy of formation in kJ/mol of atoms: -7.9

abc: 4.7763 4.7763 4.7763
angles: 90.00 90.00 90.00
With the nearest neighbours (Å) after each atom.
Sites, in units of the cell vectors:
Pd (0.0000, 0.0000, 0.0000)  6 Li 2.39
Li (0.0000, 0.0000, 0.5000)  2 Pd 2.39
Li (0.5000, 0.0000, 0.0000)  2 Pd 2.39
Li (0.0000, 0.5000, 0.0000)  2 Pd 2.39
Ca (0.5000, 0.5000, 0.5000)  12 Li 3.38

=====

[5]
VASP calculation (PBEsol) on an optimized crystal structure of LiPt3N.

Output
Calculated total energy in Ry per atom: -0.327
Space-group type: Pm-3m, No. 221
Density in g/cm³: 14.2
Total magnetic moment in μB/f.u.: 2.4

abc: 4.1352 4.1352 4.1352
angles: 90.00 90.00 90.00
With the nearest neighbours (Å) after each atom.
Sites, in units of the cell vectors:
Li (0.0000, 0.0000, 0.0000)  6 Pt 2.07
Pt (0.5000, 0.0000, 0.0000)  2 Li 2.07
Pt (0.0000, 0.0000, 0.5000)  2 Li 2.07
Pt (0.0000, 0.5000, 0.0000)  2 Li 2.07
N (0.5000, 0.5000, 0.5000)  12 Pt 2.92

=====

[6]
VASP calculation (PBEsol) on an optimized crystal structure of Li3TiCr3O8.

Output
Energy above the lowest structure with this stoichiometry in meV/atom: 10
Calculated total energy in Ry per atom: -0.589
Space-group type: R-3m, No. 166
Density in g/cm³: 4.2
Total magnetic moment in μB/f.u.: 9.0

abc: 5.7994 5.7994 5.8636
angles: 60.36 60.36 60.00
With the nearest neighbours (Å) after each atom.
Sites, in units of the cell vectors:
Li (0.5000, 0.0000, 0.5000)  6 O 2.14-2.15
Li (0.0000, 0.5000, 0.5000)  6 O 2.14-2.15
Li (0.0000, 0.0000, 0.5000)  6 O 2.14-2.15
O (0.7629, 0.2546, 0.2196)  1 Ti 1.96, 2 Cr 1.99, 2 Li 2.14
O (0.2599, 0.2599, 0.2202)  3 Cr 1.98, 3 Li 2.15
O (0.7629, 0.7629, 0.2196)  1 Ti 1.96, 2 Cr 1.99, 2 Li 2.14
O (0.2371, 0.2371, 0.7804)  1 Ti 1.96, 2 Cr 1.99, 2 Li 2.14
O (0.7454, 0.2371, 0.7804)  1 Ti 1.96, 2 Cr 1.99, 2 Li 2.14
O (0.2371, 0.7454, 0.7804)  1 Ti 1.96, 2 Cr 1.99, 2 Li 2.14
O (0.7401, 0.7401, 0.7798)  3 Cr 1.98, 3 Li 2.15
O (0.2546, 0.7629, 0.2196)  1 Ti 1.96, 2 Cr 1.99, 2 Li 2.14
Cr (0.0000, 0.5000, 0.0000)  6 O 1.98-1.99
Cr (0.5000, 0.5000, 0.0000)  6 O 1.98-1.99
Cr (0.5000, 0.0000, 0.0000)  6 O 1.98-1.99
Ti (0.0000, 0.0000, 0.0000)  6 O 1.96